18
Lattice="-0.956 4.118 2.847 -3.507 -3.674 -0.425 3.415 -4.072 7.038" Properties=species:S:1:pos:R:3 comment="GGA+U GaMoIrO6, optimized geometry" space_group=P-31c crystal_system=trigonal magmom_total_mub_per_cell=0.08 final_energy_ev_per_fu=-60.46 pbc="T T T"
Ga -1.803 -2.095 2.425
Ga 0.755 -1.534 7.035
Mo 0.000 0.000 0.000
Mo 1.708 -2.036 3.519
Ir -0.952 0.503 3.516
Ir -0.095 -4.131 5.944
O -2.511 -0.235 2.525
O -1.690 2.346 3.621
O -1.673 -4.853 4.972
O 0.643 -5.975 5.839
O -0.242 -1.352 3.418
O -2.017 0.177 5.164
O -1.168 -4.484 7.581
O 0.625 1.224 4.488
O 0.969 -3.805 4.296
O 0.121 0.856 1.879
O -0.805 -2.276 6.042
O 1.464 -3.394 6.934